Here is crystalline NaScC at its relaxed geometry from Alexandria via LeMat-Bulk. Energies are from PBE-GGA. Values from VASP.

Values from the calculation:
Space-group type: R-3m, No. 166
Energy above the lowest structure with this stoichiometry in meV per atom: 284.3
Uncorrected energy in eV per atom: -5.484
Calculated formation energy in eV per atom: 0.1413

Geometry as Quantum ESPRESSO input:
```
&SYSTEM
  ibrav = 0, nat = 6, ntyp = 3
/
ATOMIC_SPECIES
Na 22.99 Na.upf
C 12.01 C.upf
Sc 44.96 Sc.upf
CELL_PARAMETERS angstrom
1.4216 8.1973 1.2179
4.3746 6.4432 3.1699
4.6318 6.9789 -0.7358
ATOMIC_POSITIONS angstrom
Na 9.1842 19.0408 3.2164
Na 1.2437 2.5785 0.4356
C 7.5221 15.5949 2.6343
C 2.9058 6.0244 1.0177
Sc 6.5456 13.5704 2.2924
Sc 3.8824 8.0490 1.3597
```